Record 1
DFT (PBE) results for a relaxed structure of TlAgSe2.

Results
- E_form (uncorrected): -0.05 eV per atom

```
TlAgSe2
1.0
4.466 10.638 0.042
-7.094 -9.084 -0.521
-0.834 0.328 5.639
Se Tl Ag
4 2 2
Direct
0.175 0.825 0.250
0.051 0.949 0.750
0.825 0.175 0.750
0.949 0.051 0.250
0.317 0.683 0.250
0.683 0.317 0.750
0.062 0.938 0.250
0.938 0.062 0.750
```


Record 2
DFT (PBE) results for a relaxed structure of ScCoNiGe.

Results
- Energy of formation: -478.4 meV/atom

```
ScCoNiGe
1.0
-0.459 -3.886 1.625
-0.887 -3.269 -2.546
2.934 -2.966 -0.740
Co Ge Ni Sc
1 1 1 1
Direct
0.000 0.000 0.000
0.250 0.250 0.250
0.500 0.500 0.500
0.750 0.750 0.750
```


Record 3
DFT (PBE) results for a relaxed structure of NaCuI2.

Results
- Excess energy over the best structure of this formula in the dataset: 0.01 kcal/mol of atoms
- E_form (uncorrected): -0.66 eV per atom

```
NaCuI2
1.0
4.405 0.000 0.000
0.000 7.401 -0.310
0.000 -0.235 7.888
I Cu Na
4 2 2
Direct
0.000 0.262 0.695
0.000 0.738 0.305
0.500 0.739 0.828
0.500 0.261 0.172
0.500 0.613 0.135
0.500 0.387 0.865
0.500 0.000 0.500
0.000 0.000 0.000
```


Record 4
DFT (PBE) results for a relaxed structure of Rb8Sb2F.

Results
- E_form (uncorrected): -0.65 eV per atom

```
Rb8Sb2F
1.0
6.325 0.000 0.000
0.000 8.204 -0.836
-3.163 -4.647 11.125
Rb Sb F
8 2 1
Direct
0.223 0.318 0.445
0.777 0.682 0.555
0.324 0.072 0.648
0.413 0.653 0.826
0.676 0.928 0.352
0.973 0.225 0.947
0.587 0.347 0.174
0.027 0.775 0.053
0.842 0.356 0.684
0.158 0.644 0.316
0.500 0.000 0.000
```


no.,calculated volume (Å³ per atom)
1,25.22
2,13.45
3,32.10
4,50.25